{"formula": "Rb4CuSn3Cl12", "functional": "PBE-GGA", "state": "optimized geometry", "cell": [[-5.397, 5.397, 5.397], [5.397, -5.397, 5.397], [5.397, 5.397, -5.397]], "species": ["Rb", "Rb", "Rb", "Rb", "Cu", "Sn", "Sn", "Sn", "Cl", "Cl", "Cl", "Cl", "Cl", "Cl", "Cl", "Cl", "Cl", "Cl", "Cl", "Cl"], "fractional_positions": [[0.000, 0.000, 0.500], [0.000, 0.500, 0.000], [0.500, 0.000, 0.000], [0.500, 0.500, 0.500], [0.000, 0.000, 0.000], [0.000, 0.500, 0.500], [0.500, 0.000, 0.500], [0.500, 0.500, 0.000], [0.000, 0.240, 0.240], [0.000, 0.760, 0.760], [0.240, 0.000, 0.240], [0.240, 0.240, 0.000], [0.250, 0.500, 0.750], [0.250, 0.750, 0.500], [0.500, 0.250, 0.750], [0.500, 0.750, 0.250], [0.750, 0.250, 0.500], [0.750, 0.500, 0.250], [0.760, 0.000, 0.760], [0.760, 0.760, 0.000]], "energy_ev_per_atom": -3.42, "dos_at_fermi_per_ev_cell": 4.790}